No. 1
! Pd2WSCl | Alexandria | GGA-PBE | relaxed; values from VASP
&SYSTEM
  ibrav = 0, nat = 5, ntyp = 4
/
ATOMIC_SPECIES
Pd 106.42 Pd.upf
W 183.84 W.upf
S 32.06 S.upf
Cl 35.45 Cl.upf
CELL_PARAMETERS angstrom
4.5572 0.0000 0.0000
0.0000 4.5572 0.0000
0.0000 0.0000 4.5160
ATOMIC_POSITIONS angstrom
Pd 0.0000 2.2786 0.0000
Pd 2.2786 0.0000 0.0000
W 0.0000 0.0000 2.2580
S 2.2786 2.2786 2.2580
Cl 0.0000 0.0000 0.0000
! DOS(E_F): 0.74 states/eV/atom
! Formation energy (no corrections): 1.2190 eV/atom

No. 2
! YPdS2Cl | Alexandria | GGA-PBE | relaxed; values from VASP
&SYSTEM
  ibrav = 0, nat = 5, ntyp = 4
/
ATOMIC_SPECIES
Y 88.91 Y.upf
Pd 106.42 Pd.upf
S 32.06 S.upf
Cl 35.45 Cl.upf
CELL_PARAMETERS angstrom
4.7927 0.0000 0.0000
0.0000 4.7927 0.0000
0.0000 0.0000 4.6252
ATOMIC_POSITIONS angstrom
Y 0.0000 0.0000 0.0000
Pd 2.3964 2.3964 2.3126
S 0.0000 2.3964 2.3126
S 2.3964 0.0000 2.3126
Cl 2.3964 2.3964 0.0000
! DOS(E_F): 0.36 states/eV/atom
! Formation energy (no corrections): -0.6994 eV/atom

No. 3
! YPdS2Cl | Alexandria | GGA-PBE | relaxed; values from VASP
&SYSTEM
  ibrav = 0, nat = 5, ntyp = 4
/
ATOMIC_SPECIES
Y 88.91 Y.upf
Pd 106.42 Pd.upf
S 32.06 S.upf
Cl 35.45 Cl.upf
CELL_PARAMETERS angstrom
5.2803 0.0000 0.0000
0.0000 5.2803 0.0000
0.0000 0.0000 5.1519
ATOMIC_POSITIONS angstrom
Y 0.0000 0.0000 0.0000
Pd 2.6401 2.6401 2.5759
S 0.0000 2.6401 0.0000
S 2.6401 0.0000 0.0000
Cl 0.0000 0.0000 2.5759
! DOS(E_F): 1.19 states/eV/atom
! Formation energy (no corrections): -0.3828 eV/atom

No. 4
! ZnPdSCl2 | Alexandria | GGA-PBE | relaxed; values from VASP
&SYSTEM
  ibrav = 0, nat = 5, ntyp = 4
/
ATOMIC_SPECIES
Zn 65.41 Zn.upf
Pd 106.42 Pd.upf
S 32.06 S.upf
Cl 35.45 Cl.upf
CELL_PARAMETERS angstrom
4.7933 0.0000 0.0000
0.0000 4.7933 0.0000
0.0000 0.0000 4.8335
ATOMIC_POSITIONS angstrom
Zn 0.0000 0.0000 0.0000
Pd 2.3966 2.3966 2.4167
S 2.3966 2.3966 0.0000
Cl 0.0000 2.3966 2.4167
Cl 2.3966 0.0000 2.4167
! DOS(E_F): 0.83 states/eV/atom
! Formation energy (no corrections): 0.0644 eV/atom

No. 5
! ZrPdSCl2 | Alexandria | GGA-PBE | relaxed; values from VASP
&SYSTEM
  ibrav = 0, nat = 5, ntyp = 4
/
ATOMIC_SPECIES
Zr 91.22 Zr.upf
Pd 106.42 Pd.upf
S 32.06 S.upf
Cl 35.45 Cl.upf
CELL_PARAMETERS angstrom
5.0281 0.0000 0.0000
0.0000 5.0281 0.0000
0.0000 0.0000 4.9497
ATOMIC_POSITIONS angstrom
Zr 0.0000 0.0000 0.0000
Pd 2.5140 2.5140 2.4749
S 0.0000 0.0000 2.4749
Cl 0.0000 2.5140 0.0000
Cl 2.5140 0.0000 0.0000
! DOS(E_F): 1.71 states/eV/atom
! Formation energy (no corrections): -0.6036 eV/atom

No. 6
! ZrPdSCl2 | Alexandria | GGA-PBE | relaxed; values from VASP
&SYSTEM
  ibrav = 0, nat = 5, ntyp = 4
/
ATOMIC_SPECIES
Zr 91.22 Zr.upf
Pd 106.42 Pd.upf
S 32.06 S.upf
Cl 35.45 Cl.upf
CELL_PARAMETERS angstrom
4.6992 0.0000 0.0000
0.0000 4.6992 0.0000
0.0000 0.0000 4.9144
ATOMIC_POSITIONS angstrom
Zr 0.0000 0.0000 0.0000
Pd 2.3496 2.3496 2.4572
S 2.3496 2.3496 0.0000
Cl 0.0000 2.3496 2.4572
Cl 2.3496 0.0000 2.4572
! DOS(E_F): 1.09 states/eV/atom
! Formation energy (no corrections): -0.0243 eV/atom